First-principles (PBE-GGA) data for LaCu3I after structural relaxation, as listed in Alexandria via LeMat-Bulk.

a b c (Å): 4.989 4.989 4.989
angles (deg): 90.00 90.00 90.00
Atoms (fractional coordinates):
I: 0.000 0.000 0.000
Cu: 0.000 0.500 0.000
Cu: 0.000 0.000 0.500
Cu: 0.500 0.000 0.000
La: 0.500 0.500 0.500

Calculated values
Magnetic moment, Bohr magnetons per cell: 0.00
Uncorrected formation energy, eV per atom: 0.6730
Volume, Å³ per atom: 24.8
E_tot, eV per atom: -3.0802

First-principles (PBE-GGA) data for LaCuI3 after structural relaxation, as listed in Alexandria via LeMat-Bulk.

a b c (Å): 5.454 5.454 5.454
angles (deg): 90.00 90.00 90.00
Atoms (fractional coordinates):
I: 0.000 0.500 0.000
I: 0.000 0.000 0.500
I: 0.500 0.000 0.000
Cu: 0.000 0.000 0.000
La: 0.500 0.500 0.500

Calculated values
Magnetic moment, Bohr magnetons per cell: 0.58
Uncorrected formation energy, eV per atom: -0.4430
Volume, Å³ per atom: 32.5
E_tot, eV per atom: -3.1778

What did the second record say?
First-principles (PBE-GGA) data for LaCuI3 after structural relaxation, as listed in Alexandria via LeMat-Bulk.

a b c (Å): 5.454 5.454 5.454
angles (deg): 90.00 90.00 90.00
Atoms (fractional coordinates):
I: 0.000 0.500 0.000
I: 0.000 0.000 0.500
I: 0.500 0.000 0.000
Cu: 0.000 0.000 0.000
La: 0.500 0.500 0.500

Calculated values
Magnetic moment, Bohr magnetons per cell: 0.58
Uncorrected formation energy, eV per atom: -0.4430
Volume, Å³ per atom: 32.5
E_tot, eV per atom: -3.1778